Run w
DFT (PBE) results for an optimized crystal structure of ZnMoPb3.

Calculated values
**Symmetry**: No. 221
**Fermi-level density of states**: 2.6 states/eV/cell

a = 5.3291 Å, b = 5.3291 Å, c = 5.3291 Å
α = 90.00°, β = 90.00°, γ = 90.00°
Last column: magnetic moment on the atom in μB.
Atoms (fractional coordinates):
Mo 0.5000 0.5000 0.5000  3.53
Pb 0.0000 0.5000 0.0000  -0.04
Pb 0.5000 0.0000 0.0000  -0.03
Pb 0.0000 0.0000 0.5000  -0.03
Zn 0.0000 0.0000 0.0000  0.00



Run x
DFT (PBE) results for an optimized crystal structure of ZnMoPb3.

Calculated values
**Symmetry**: No. 221
**Fermi-level density of states**: 0.4 states/eV/cell

a = 5.4145 Å, b = 5.4145 Å, c = 5.4145 Å
α = 90.00°, β = 90.00°, γ = 90.00°
Atoms (fractional coordinates):
Mo 0.0000 0.0000 0.0000
Pb 0.0000 0.5000 0.0000
Pb 0.0000 0.0000 0.5000
Pb 0.5000 0.0000 0.0000
Zn 0.5000 0.5000 0.5000



Which structure is the least stable? The one labeled run w.



Run w
DFT (PBE) results for an optimized crystal structure of ZnMo3Pb.

Calculated values
**Symmetry**: No. 221
**Fermi-level density of states**: 6.9 states/eV/cell

a = 5.0098 Å, b = 5.0098 Å, c = 5.0098 Å
α = 90.00°, β = 90.00°, γ = 90.00°
Atoms (fractional coordinates):
Mo 0.0000 0.5000 0.0000
Mo 0.0000 0.0000 0.5000
Mo 0.5000 0.0000 0.0000
Zn 0.5000 0.5000 0.5000
Pb 0.0000 0.0000 0.0000



Run x
DFT (PBE) results for an optimized crystal structure of ZnMo3Pb.

Calculated values
**Symmetry**: No. 221
**Fermi-level density of states**: 5.9 states/eV/cell

a = 4.6314 Å, b = 4.6314 Å, c = 4.6314 Å
α = 90.00°, β = 90.00°, γ = 90.00°
Atoms (fractional coordinates):
Mo 0.0000 0.0000 0.5000
Mo 0.0000 0.5000 0.0000
Mo 0.5000 0.0000 0.0000
Zn 0.0000 0.0000 0.0000
Pb 0.5000 0.5000 0.5000



Which structure is the least stable? The one labeled run w.



Run w
DFT (PBE) results for an optimized crystal structure of ZrMoPb.

Calculated values
**Symmetry**: No. 156
**Fermi-level density of states**: 3.2 states/eV/cell

a = 3.3525 Å, b = 3.3525 Å, c = 6.8127 Å
α = 90.00°, β = 90.00°, γ = 120.00°
Atoms (fractional coordinates):
Zr 0.3333 0.6667 0.6977
Mo 0.0000 0.0000 0.9868
Pb 0.6667 0.3333 0.3155



Run x
DFT (PBE) results for an optimized crystal structure of ZrMoPb.

Calculated values
**Symmetry**: No. 216
**Fermi-level density of states**: 5.5 states/eV/cell

a = 4.7418 Å, b = 4.7418 Å, c = 4.7418 Å
α = 60.00°, β = 60.00°, γ = 60.00°
Last column: magnetic moment on the atom in μB.
Atoms (fractional coordinates):
Pb 0.5000 0.5000 0.5000  0.00
Zr 0.2500 0.2500 0.2500  -0.01
Mo 0.0000 0.0000 0.0000  0.36



Which structure is the least stable? The one labeled run x.



Run w
DFT (PBE) results for an optimized crystal structure of ZrMoPb.

Calculated values
**Symmetry**: No. 216
**Fermi-level density of states**: 4.1 states/eV/cell

a = 4.6883 Å, b = 4.6883 Å, c = 4.6883 Å
α = 60.00°, β = 60.00°, γ = 60.00°
Atoms (fractional coordinates):
Zr 0.5000 0.5000 0.5000
Mo 0.2500 0.2500 0.2500
Pb 0.0000 0.0000 0.0000



Run x
DFT (PBE) results for an optimized crystal structure of ZrMoPb.

Calculated values
**Symmetry**: No. 156
**Fermi-level density of states**: 1.3 states/eV/cell

a = 4.8737 Å, b = 4.8737 Å, c = 3.0307 Å
α = 90.00°, β = 90.00°, γ = 120.00°
Atoms (fractional coordinates):
Zr 0.6667 0.3333 0.7104
Pb 0.3333 0.6667 0.2675
Mo 0.0000 0.0000 0.0221



Run y
DFT (PBE) results for an optimized crystal structure of ZrMoPb.

Calculated values
**Symmetry**: No. 107
**Fermi-level density of states**: 0.9 states/eV/cell

a = 5.3775 Å, b = 5.3775 Å, c = 5.3775 Å
α = 140.72°, β = 140.72°, γ = 56.76°
Atoms (fractional coordinates):
Pb 0.3384 0.3384 0.0000
Zr 0.6548 0.6548 0.0000
Mo 0.0068 0.0068 0.0000



Which structure is the least stable? The one labeled run w.



Run w
DFT (PBE) results for an optimized crystal structure of ZrMoPb2.

Calculated values
**Symmetry**: No. 99
**Fermi-level density of states**: 3.0 states/eV/cell

a = 3.5616 Å, b = 3.5616 Å, c = 7.5493 Å
α = 90.00°, β = 90.00°, γ = 90.00°
Atoms (fractional coordinates):
Pb 0.0000 0.0000 0.9492
Pb 0.5000 0.5000 0.2882
Mo 0.5000 0.5000 0.7218
Zr 0.0000 0.0000 0.5408



Run x
DFT (PBE) results for an optimized crystal structure of ZrMoPb2.

Calculated values
**Symmetry**: No. 12
**Fermi-level density of states**: 3.6 states/eV/cell

a = 5.2140 Å, b = 5.2140 Å, c = 5.2146 Å
α = 78.14°, β = 78.14°, γ = 40.23°
Atoms (fractional coordinates):
Pb 0.5098 0.5098 0.4848
Pb 0.9902 0.9902 0.0152
Mo 0.2500 0.2500 0.2500
Zr 0.7500 0.7500 0.7500



Which structure is the least stable? The one labeled run x.



Run w
DFT (PBE) results for an optimized crystal structure of ZrMoPb2.

Calculated values
**Symmetry**: No. 44
**Fermi-level density of states**: 3.7 states/eV/cell

a = 5.8841 Å, b = 5.8841 Å, c = 5.8841 Å
α = 144.24°, β = 130.14°, γ = 62.86°
Atoms (fractional coordinates):
Pb 0.0184 0.0184 0.0000
Pb 0.7435 0.2435 0.5000
Mo 0.2629 0.7629 0.5000
Zr 0.4752 0.4752 0.0000



Run x
DFT (PBE) results for an optimized crystal structure of ZrMoPb2.

Calculated values
**Symmetry**: No. 166
**Fermi-level density of states**: 2.8 states/eV/cell

a = 9.6346 Å, b = 9.6346 Å, c = 9.6346 Å
α = 19.78°, β = 19.78°, γ = 19.78°
Atoms (fractional coordinates):
Mo 0.7500 0.7500 0.7500
Pb 0.0064 0.0064 0.0064
Pb 0.4936 0.4936 0.4936
Zr 0.2500 0.2500 0.2500



Run y
DFT (PBE) results for an optimized crystal structure of ZrMoPb2.

Calculated values
**Symmetry**: No. 35
**Fermi-level density of states**: 3.3 states/eV/cell

a = 3.1659 Å, b = 3.1659 Å, c = 10.6576 Å
α = 90.00°, β = 90.00°, γ = 110.69°
Atoms (fractional coordinates):
Mo 0.5000 0.5000 0.7294
Zr 0.0000 0.0000 0.5386
Pb 0.5000 0.5000 0.2832
Pb 0.0000 0.0000 0.9488



Which structure is the least stable? The one labeled run x.